LaYHo4: relaxed, GGA-PBE.

Lattice parameters (Å, degrees): 11.632 3.422 11.563 90.00 119.74 90.00
Space group C2/m (No. 12)
Asymmetric unit:
La: 0.000 0.000 0.000 [2 per cell]
Y: 0.000 0.000 0.500 [2 per cell]
Ho: 0.189 0.000 0.842 [4 per cell]
Ho: 0.192 0.000 0.347 [4 per cell]

Calculated values
Formation energy = 0.21 eV per atom
Relative energy among the computed polymorphs = 181 meV/atom



Dy2Zn2Te: relaxed, GGA-PBE.

Lattice parameters (Å, degrees): 4.3225 4.3225 22.4419 90.00 90.00 120.00
Space group R-3m (No. 166, hexagonal axes)
Asymmetric unit:
Dy: 0.0000 0.0000 0.0826 [6 per cell]
Zn: 0.0000 0.0000 0.3313 [6 per cell]
Te: 0.0000 0.0000 0.5000 [3 per cell]

Calculated values
Formation energy (no corrections) = -3.8 eV per formula unit



Be2PdCl: relaxed, GGA-PBE.

Lattice parameters (Å, degrees): 5.997 5.997 5.997 90.00 90.00 90.00
Space group Fm-3m (No. 225)
Asymmetric unit:
Be: 0.250 0.250 0.250 [8 per cell]
Pd: 0.000 0.000 0.000 [4 per cell]
Cl: 0.000 0.000 0.500 [4 per cell]

Calculated values
Relative energy among the computed polymorphs = 507 meV/atom
Formation energy (no corrections) = 2.3 eV per formula unit



Listing M_tot for the structures above in their given order: 0.0, 0.0, 0.0 μB/cell.